First-principles (PBE) data for an optimized crystal structure of ScIn4Ag2, as listed in Alexandria.

Computed properties:
Fermi-level density of states in states/eV/cell: 2.33
V in Å³ per atom: 22.670
Uncorrected energy in eV/cell: -24.2

abc: 4.7084 4.7084 7.1580
angles: 90.00 90.00 90.00
Fractional positions:
Ag  0.0000  0.0000  0.0000
Ag  0.5000  0.5000  0.5000
In  0.0000  0.5000  0.7310
In  0.5000  0.0000  0.2690
In  0.5000  0.0000  0.7310
In  0.0000  0.5000  0.2690
Sc  0.5000  0.5000  0.0000